# 1
# KLi2PbF5

A relaxed KLi2PbF5 crystal (GGA-PBE, Alexandria).

Structure (CIF):
```
data_KLi2PbF5
_chemical_formula_sum 'K1 Li2 Pb1 F5'
_symmetry_space_group_name_H-M 'P 1'
_symmetry_Int_Tables_number 1
_symmetry_space_group_name_Hall 'P 1'
_cell_length_a 4.010
_cell_length_b 4.010
_cell_length_c 7.922
_cell_angle_alpha 90.00
_cell_angle_beta 90.00
_cell_angle_gamma 90.00
loop_
_atom_site_label
_atom_site_type_symbol
_atom_site_fract_x
_atom_site_fract_y
_atom_site_fract_z
K1 K 0.000 0.000 0.000
Li1 Li 0.500 0.500 0.234
Li2 Li 0.500 0.500 0.766
Pb1 Pb 0.000 0.000 0.500
F1 F 0.000 0.500 0.300
F2 F 0.000 0.500 0.700
F3 F 0.500 0.000 0.300
F4 F 0.500 0.000 0.700
F5 F 0.500 0.500 0.000
```

Properties
Its space group is P4/mmm, No. 123. Its size of the total moment is 0.0 Bohr magnetons per cell. For the uncorrected formation energy, the calculation gives -2704 meV per atom. The energy is -42.328 eV/cell.

# 2
# K2Li3PbF8

A relaxed K2Li3PbF8 crystal (GGA-PBE, Alexandria).

Structure (CIF):
```
data_K2Li3PbF8
_chemical_formula_sum 'K2 Li3 Pb1 F8'
_symmetry_space_group_name_H-M 'P 1'
_symmetry_Int_Tables_number 1
_symmetry_space_group_name_Hall 'P 1'
_cell_length_a 7.294
_cell_length_b 7.294
_cell_length_c 7.294
_cell_angle_alpha 52.78
_cell_angle_beta 52.78
_cell_angle_gamma 52.78
loop_
_atom_site_label
_atom_site_type_symbol
_atom_site_fract_x
_atom_site_fract_y
_atom_site_fract_z
K1 K 0.000 0.000 0.000
K2 K 0.351 0.351 0.351
Li1 Li 0.332 0.332 0.888
Li2 Li 0.332 0.888 0.332
Li3 Li 0.888 0.332 0.332
Pb1 Pb 0.819 0.819 0.819
F1 F 0.078 0.078 0.564
F2 F 0.078 0.564 0.078
F3 F 0.130 0.130 0.130
F4 F 0.202 0.607 0.607
F5 F 0.564 0.078 0.078
F6 F 0.607 0.202 0.607
F7 F 0.607 0.607 0.202
F8 F 0.702 0.702 0.702
```

Properties
Its space group is R3m, No. 160. Its size of the total moment is 0.0 Bohr magnetons per cell. For the uncorrected formation energy, the calculation gives -2582 meV per atom. The energy is -62.757 eV/cell.

# 3
# KLi2PbF8

A relaxed KLi2PbF8 crystal (GGA-PBE, Alexandria).

Structure (CIF):
```
data_KLi2PbF8
_chemical_formula_sum 'K1 Li2 Pb1 F8'
_symmetry_space_group_name_H-M 'P 1'
_symmetry_Int_Tables_number 1
_symmetry_space_group_name_Hall 'P 1'
_cell_length_a 4.843
_cell_length_b 4.872
_cell_length_c 7.753
_cell_angle_alpha 91.06
_cell_angle_beta 91.64
_cell_angle_gamma 91.90
loop_
_atom_site_label
_atom_site_type_symbol
_atom_site_fract_x
_atom_site_fract_y
_atom_site_fract_z
K1 K 0.000 0.000 0.000
Li1 Li 0.479 0.511 0.300
Li2 Li 0.521 0.489 0.700
Pb1 Pb 0.000 0.000 0.500
F1 F 0.223 0.183 0.302
F2 F 0.225 0.200 0.705
F3 F 0.286 0.680 0.504
F4 F 0.341 0.572 0.062
F5 F 0.659 0.428 0.938
F6 F 0.714 0.320 0.496
F7 F 0.775 0.800 0.295
F8 F 0.777 0.817 0.698
```

Properties
Its space group is P-1, No. 2. Its size of the total moment is 1.0 Bohr magnetons per cell. For the uncorrected formation energy, the calculation gives -2282 meV per atom. The energy is -50.985 eV/cell.

# 4
# K3LiPb2F9

A relaxed K3LiPb2F9 crystal (GGA-PBE, Alexandria).

Structure (CIF):
```
data_K3LiPb2F9
_chemical_formula_sum 'K3 Li1 Pb2 F9'
_symmetry_space_group_name_H-M 'P 1'
_symmetry_Int_Tables_number 1
_symmetry_space_group_name_Hall 'P 1'
_cell_length_a 6.256
_cell_length_b 6.256
_cell_length_c 8.079
_cell_angle_alpha 90.00
_cell_angle_beta 90.00
_cell_angle_gamma 120.00
loop_
_atom_site_label
_atom_site_type_symbol
_atom_site_fract_x
_atom_site_fract_y
_atom_site_fract_z
K1 K 0.000 0.000 0.000
K2 K 0.333 0.667 0.629
K3 K 0.667 0.333 0.371
Li1 Li 0.000 0.000 0.500
Pb1 Pb 0.333 0.667 0.187
Pb2 Pb 0.667 0.333 0.813
F1 F 0.000 0.500 0.000
F2 F 0.161 0.323 0.352
F3 F 0.161 0.839 0.352
F4 F 0.323 0.161 0.648
F5 F 0.500 0.000 0.000
F6 F 0.500 0.500 0.000
F7 F 0.677 0.839 0.352
F8 F 0.839 0.161 0.648
F9 F 0.839 0.677 0.648
```

Properties
Its space group is P-3m1, No. 164. Its size of the total moment is 0.0 Bohr magnetons per cell. For the uncorrected formation energy, the calculation gives -2496 meV per atom. The energy is -66.904 eV/cell.

# 5
# KLiPd2F8

A relaxed KLiPd2F8 crystal (GGA-PBE, Alexandria).

Structure (CIF):
```
data_KLiPd2F8
_chemical_formula_sum 'K1 Li1 Pd2 F8'
_symmetry_space_group_name_H-M 'P 1'
_symmetry_Int_Tables_number 1
_symmetry_space_group_name_Hall 'P 1'
_cell_length_a 5.103
_cell_length_b 6.903
_cell_length_c 5.119
_cell_angle_alpha 90.00
_cell_angle_beta 95.35
_cell_angle_gamma 90.00
loop_
_atom_site_label
_atom_site_type_symbol
_atom_site_fract_x
_atom_site_fract_y
_atom_site_fract_z
K1 K 0.000 0.000 0.000
Li1 Li 0.000 0.500 0.000
Pd1 Pd 0.500 0.261 0.500
Pd2 Pd 0.500 0.739 0.500
F1 F 0.217 0.283 0.216
F2 F 0.217 0.717 0.216
F3 F 0.325 0.500 0.673
F4 F 0.344 0.000 0.654
F5 F 0.656 0.000 0.346
F6 F 0.675 0.500 0.327
F7 F 0.783 0.283 0.784
F8 F 0.783 0.717 0.784
```

Properties
Its space group is P2/m, No. 10. Its size of the total moment is 0.0 Bohr magnetons per cell. For the uncorrected formation energy, the calculation gives -1786 meV per atom. The energy is -49.802 eV/cell.

# 6
# K3Li2PdF9

A relaxed K3Li2PdF9 crystal (GGA-PBE, Alexandria).

Structure (CIF):
```
data_K3Li2PdF9
_chemical_formula_sum 'K3 Li2 Pd1 F9'
_symmetry_space_group_name_H-M 'P 1'
_symmetry_Int_Tables_number 1
_symmetry_space_group_name_Hall 'P 1'
_cell_length_a 5.847
_cell_length_b 5.847
_cell_length_c 7.360
_cell_angle_alpha 90.00
_cell_angle_beta 90.00
_cell_angle_gamma 120.00
loop_
_atom_site_label
_atom_site_type_symbol
_atom_site_fract_x
_atom_site_fract_y
_atom_site_fract_z
K1 K 0.000 0.000 0.000
K2 K 0.333 0.667 0.702
K3 K 0.667 0.333 0.298
Li1 Li 0.333 0.667 0.107
Li2 Li 0.667 0.333 0.893
Pd1 Pd 0.000 0.000 0.500
F1 F 0.000 0.500 0.000
F2 F 0.158 0.315 0.347
F3 F 0.158 0.842 0.347
F4 F 0.315 0.158 0.653
F5 F 0.500 0.000 0.000
F6 F 0.500 0.500 0.000
F7 F 0.685 0.842 0.347
F8 F 0.842 0.158 0.653
F9 F 0.842 0.685 0.653
```

Properties
Its space group is P-3m1, No. 164. Its size of the total moment is 0.0 Bohr magnetons per cell. For the uncorrected formation energy, the calculation gives -2393 meV per atom. The energy is -65.053 eV/cell.

Q: Which value of energy does entry 2 give?
A: -62.757 eV/cell

Q: Which value of size of the total moment does entry 3 give?
A: 1.0 Bohr magnetons per cell

Copy entry 3 word for word.
# KLi2PbF8

A relaxed KLi2PbF8 crystal (GGA-PBE, Alexandria).

Structure (CIF):
```
data_KLi2PbF8
_chemical_formula_sum 'K1 Li2 Pb1 F8'
_symmetry_space_group_name_H-M 'P 1'
_symmetry_Int_Tables_number 1
_symmetry_space_group_name_Hall 'P 1'
_cell_length_a 4.843
_cell_length_b 4.872
_cell_length_c 7.753
_cell_angle_alpha 91.06
_cell_angle_beta 91.64
_cell_angle_gamma 91.90
loop_
_atom_site_label
_atom_site_type_symbol
_atom_site_fract_x
_atom_site_fract_y
_atom_site_fract_z
K1 K 0.000 0.000 0.000
Li1 Li 0.479 0.511 0.300
Li2 Li 0.521 0.489 0.700
Pb1 Pb 0.000 0.000 0.500
F1 F 0.223 0.183 0.302
F2 F 0.225 0.200 0.705
F3 F 0.286 0.680 0.504
F4 F 0.341 0.572 0.062
F5 F 0.659 0.428 0.938
F6 F 0.714 0.320 0.496
F7 F 0.775 0.800 0.295
F8 F 0.777 0.817 0.698
```

Properties
Its space group is P-1, No. 2. Its size of the total moment is 1.0 Bohr magnetons per cell. For the uncorrected formation energy, the calculation gives -2282 meV per atom. The energy is -50.985 eV/cell.